a | {"formula": "Be3AsIr", "functional": "PBE-GGA", "state": "relaxed", "cell": [[4.124, 0.000, 0.000], [0.000, 4.124, 0.000], [0.000, 0.000, 4.124]], "species": ["Be", "Be", "Be", "As", "Ir"], "frac_coords": [[0.000, 0.000, 0.500], [0.000, 0.500, 0.000], [0.500, 0.000, 0.000], [0.000, 0.000, 0.000], [0.500, 0.500, 0.500]], "n_ef_per_ev_atom": 0.000}

b | {"formula": "Be3AsIr", "functional": "PBE-GGA", "state": "relaxed", "cell": [[4.245, 0.000, 0.000], [0.000, 4.245, 0.000], [0.000, 0.000, 4.245]], "species": ["Be", "Be", "Be", "As", "Ir"], "frac_coords": [[0.000, 0.000, 0.500], [0.000, 0.500, 0.000], [0.500, 0.000, 0.000], [0.500, 0.500, 0.500], [0.000, 0.000, 0.000]], "n_ef_per_ev_atom": 0.438}

Which structure is most stable? b, by 461 meV/atom over the runner-up.

a | {"formula": "Be2AsIr2", "functional": "PBE-GGA", "state": "relaxed", "cell": [[-1.549, 1.549, 6.580], [1.549, -1.549, 6.580], [1.549, 1.549, -6.580]], "species": ["Be", "Be", "As", "Ir", "Ir"], "frac_coords": [[0.250, 0.750, 0.500], [0.750, 0.250, 0.500], [0.000, 0.000, 0.000], [0.385, 0.385, 0.000], [0.615, 0.615, 0.000]], "n_ef_per_ev_atom": 0.651}

b | {"formula": "Be2AsIr2", "functional": "PBE-GGA", "state": "relaxed", "cell": [[6.615, 0.000, 0.000], [0.000, 6.615, 0.000], [0.000, 0.000, 2.857]], "species": ["Be", "Be", "Be", "Be", "As", "As", "Ir", "Ir", "Ir", "Ir"], "frac_coords": [[0.121, 0.379, 0.000], [0.379, 0.879, 0.000], [0.621, 0.121, 0.000], [0.879, 0.621, 0.000], [0.000, 0.000, 0.000], [0.500, 0.500, 0.000], [0.168, 0.668, 0.500], [0.332, 0.168, 0.500], [0.668, 0.832, 0.500], [0.832, 0.332, 0.500]], "n_ef_per_ev_atom": 0.745}

Which structure is most stable? a, by 62 meV/atom over the runner-up.

a | {"formula": "K2BeAs", "functional": "PBE-GGA", "state": "relaxed", "cell": [[-2.255, 2.255, 11.183], [2.255, -2.255, 11.183], [2.255, 2.255, -11.183]], "species": ["K", "K", "K", "K", "Be", "Be", "As", "As"], "frac_coords": [[0.122, 0.625, 0.997], [0.375, 0.372, 0.497], [0.628, 0.125, 0.003], [0.875, 0.878, 0.503], [0.000, 0.000, 0.000], [0.750, 0.250, 0.500], [0.250, 0.750, 0.500], [0.500, 0.500, 0.000]], "n_ef_per_ev_atom": 0.419}

b | {"formula": "K2BeAs", "functional": "PBE-GGA", "state": "relaxed", "cell": [[3.707, 0.000, 0.000], [0.000, 4.994, 0.000], [-0.045, 0.000, 5.962]], "species": ["K", "K", "Be", "As"], "frac_coords": [[0.000, 0.000, 0.244], [0.000, 0.000, 0.756], [0.500, 0.500, 0.500], [0.500, 0.500, 0.000]], "n_ef_per_ev_atom": 0.409}

Which structure is most stable? b, by 196 meV/atom over the runner-up.